[1]
First-principles (GGA-PBE) data for a relaxed structure of CuPPd2, as listed in the Alexandria database.

Cell lengths 3.046, 3.046, 6.085 Å; angles 90.00, 90.00, 90.00 degrees
Fractional positions:
Cu1 0.000 0.000 0.000
P1 0.000 0.000 0.500
Pd1 0.500 0.500 0.261
Pd2 0.500 0.500 0.739

Computed properties:
D(E_F), states/eV/atom: 0.462
SG: No. 123
Spin magnetization, μB per atom: 0.0000
ΔE_f, eV per atom: -0.160


[2]
First-principles (GGA-PBE) data for a relaxed structure of ZnOsCl2, as listed in the Alexandria database.

Cell lengths 10.309, 10.309, 10.309 Å; angles 16.14, 16.14, 16.14 degrees
Fractional positions:
Zn1 0.000 0.000 0.000
Os1 0.500 0.500 0.500
Cl1 0.427 0.427 0.427
Cl2 0.573 0.573 0.573

Computed properties:
D(E_F), states/eV/atom: 0.543
SG: No. 166
Offset from the most stable computed form, meV/atom: 262
Uncorrected formation energy, eV/f.u.: 1.009
Spin magnetization, μB per atom: 0.0000


[3]
First-principles (GGA-PBE) data for a relaxed structure of RhWSe4, as listed in the Alexandria database.

Cell lengths 5.437, 5.437, 5.437 Å; angles 60.00, 60.00, 60.00 degrees
Fractional positions:
Rh1 0.000 0.000 0.000
W1 0.250 0.250 0.250
Se1 0.123 0.626 0.626
Se2 0.626 0.123 0.626
Se3 0.626 0.626 0.123
Se4 0.626 0.626 0.626

Computed properties:
D(E_F), states/eV/atom: 1.138
SG: No. 216
Uncorrected formation energy, eV/f.u.: 8.512
Spin magnetization, μB per atom: 0.3573